! ThInGaAu (PBE, optimized geometry); values from VASP
&SYSTEM
  ibrav = 0, nat = 16, ntyp = 4
/
ATOMIC_SPECIES
Th 232.04 Th.upf
In 114.82 In.upf
Ga 69.72 Ga.upf
Au 196.97 Au.upf
CELL_PARAMETERS angstrom
7.177 0.000 0.000
0.000 7.177 0.000
0.000 0.000 7.177
ATOMIC_POSITIONS crystal
Th 0.000 0.000 0.000
Th 0.000 0.500 0.500
Th 0.500 0.000 0.500
Th 0.500 0.500 0.000
In 0.000 0.000 0.500
In 0.000 0.500 0.000
In 0.500 0.000 0.000
In 0.500 0.500 0.500
Ga 0.250 0.250 0.250
Ga 0.250 0.750 0.750
Ga 0.750 0.250 0.750
Ga 0.750 0.750 0.250
Au 0.250 0.250 0.750
Au 0.250 0.750 0.250
Au 0.750 0.250 0.250
Au 0.750 0.750 0.750
! Total magnetization = 0.0 μB/f.u.
! ΔH_f (0 K) = -0.43 eV per atom
! Crystal system = cubic
! Density of states at the Fermi level = 4.5 states/eV/f.u.